(1)
The following is a PBE-GGA calculation of a geometry-optimized BaCa3Pt structure, from Alexandria via LeMat-Bulk.

* electronic total energy: -3.188 eV per atom
* energy above the lowest structure with this stoichiometry: 66.6 meV/atom
* Fermi-level density of states: 0.709 states/eV per atom

Structure (CIF):
```
data_BaCa3Pt
_chemical_formula_sum 'Ba4 Ca12 Pt4'
_cell_length_a 9.773
_cell_length_b 7.261
_cell_length_c 13.683
_cell_angle_alpha 90.00
_cell_angle_beta 128.22
_cell_angle_gamma 90.00
_symmetry_space_group_name_H-M 'P 1 21/c 1'
_symmetry_Int_Tables_number 14
_symmetry_space_group_name_Hall '-P 2ybc'
loop_
_atom_site_label
_atom_site_fract_x
_atom_site_fract_y
_atom_site_fract_z
Ba1 0.139 0.224 0.077
Ca1 0.079 0.603 0.786
Ca2 0.359 0.720 0.177
Ca3 0.443 0.228 0.975
Pt1 0.212 0.578 0.451
```

(2)
The following is a PBE-GGA calculation of a geometry-optimized TlAg3Br structure, from Alexandria via LeMat-Bulk.

* electronic total energy: -1.981 eV per atom
* raw formation energy: 538 meV/atom
* energy above the lowest structure with this stoichiometry: 0.0 meV/atom
* Fermi-level density of states: 0.831 states/eV per atom

Structure (CIF):
```
data_TlAg3Br
_chemical_formula_sum 'Tl1 Ag3 Br1'
_cell_length_a 5.302
_cell_length_b 5.302
_cell_length_c 5.302
_cell_angle_alpha 90.00
_cell_angle_beta 90.00
_cell_angle_gamma 90.00
_symmetry_space_group_name_H-M 'P m -3 m'
_symmetry_Int_Tables_number 221
_symmetry_space_group_name_Hall '-P 4 2 3'
loop_
_atom_site_label
_atom_site_fract_x
_atom_site_fract_y
_atom_site_fract_z
Tl1 0.000 0.000 0.000
Ag1 0.000 0.500 0.500
Br1 0.500 0.500 0.500
```

(3)
The following is a PBE-GGA calculation of a geometry-optimized PrEr5N6 structure, from Alexandria via LeMat-Bulk.

* electronic total energy: -8.132 eV per atom
* raw formation energy: -1669 meV/atom
* Fermi-level density of states: 0.023 states/eV per atom

Structure (CIF):
```
data_PrEr5N6
_chemical_formula_sum 'Pr2 Er10 N12'
_cell_length_a 6.021
_cell_length_b 10.430
_cell_length_c 6.016
_cell_angle_alpha 90.00
_cell_angle_beta 109.47
_cell_angle_gamma 90.00
_symmetry_space_group_name_H-M 'C 1 2/m 1'
_symmetry_Int_Tables_number 12
_symmetry_space_group_name_Hall '-C 2y'
loop_
_atom_site_label
_atom_site_fract_x
_atom_site_fract_y
_atom_site_fract_z
Pr1 0.000 0.000 0.000
Er1 0.000 0.168 0.500
Er2 0.000 0.334 0.000
Er3 0.000 0.500 0.500
N1 0.241 0.500 0.255
N2 0.243 0.328 0.745
```

(4)
The following is a PBE-GGA calculation of a geometry-optimized CoNi2HRh structure, from Alexandria via LeMat-Bulk.

* electronic total energy: -5.835 eV per atom
* energy above the lowest structure with this stoichiometry: 0.0 meV/atom
* Fermi-level density of states: 1.259 states/eV per atom

Structure (CIF):
```
data_CoNi2HRh
_chemical_formula_sum 'Co1 Ni2 H1 Rh1'
_cell_length_a 3.650
_cell_length_b 3.650
_cell_length_c 3.783
_cell_angle_alpha 90.00
_cell_angle_beta 90.00
_cell_angle_gamma 90.00
_symmetry_space_group_name_H-M 'P 4/m m m'
_symmetry_Int_Tables_number 123
_symmetry_space_group_name_Hall '-P 4 2'
loop_
_atom_site_label
_atom_site_fract_x
_atom_site_fract_y
_atom_site_fract_z
Co1 0.000 0.000 0.000
Ni1 0.000 0.500 0.500
H1 0.500 0.500 0.500
Rh1 0.500 0.500 0.000
```

(5)
The following is a PBE-GGA calculation of a geometry-optimized Dy4As3Se structure, from Alexandria via LeMat-Bulk.

* electronic total energy: -6.123 eV per atom
* raw formation energy: -1643 meV/atom
* energy above the lowest structure with this stoichiometry: 0.0 meV/atom
* Fermi-level density of states: 0.307 states/eV per atom

Structure (CIF):
```
data_Dy4As3Se
_chemical_formula_sum 'Dy8 As6 Se2'
_cell_length_a 5.809
_cell_length_b 5.809
_cell_length_c 11.621
_cell_angle_alpha 90.00
_cell_angle_beta 90.00
_cell_angle_gamma 90.00
_symmetry_space_group_name_H-M 'I 4/m m m'
_symmetry_Int_Tables_number 139
_symmetry_space_group_name_Hall '-I 4 2'
loop_
_atom_site_label
_atom_site_fract_x
_atom_site_fract_y
_atom_site_fract_z
Dy1 0.000 0.000 0.246
Dy2 0.000 0.500 0.000
As1 0.000 0.000 0.000
As2 0.000 0.500 0.250
Se1 0.000 0.000 0.500
```

(6)
The following is a PBE-GGA calculation of a geometry-optimized PmPr4Y6 structure, from Alexandria via LeMat-Bulk.

* electronic total energy: -5.589 eV per atom
* energy above the lowest structure with this stoichiometry: 0.0 meV/atom
* Fermi-level density of states: 1.892 states/eV per atom

Structure (CIF):
```
data_PmPr4Y6
_chemical_formula_sum 'Pm4 Pr16 Y24'
_cell_length_a 5.842
_cell_length_b 9.787
_cell_length_c 26.241
_cell_angle_alpha 90.00
_cell_angle_beta 90.00
_cell_angle_gamma 90.00
_symmetry_space_group_name_H-M 'C m c m'
_symmetry_Int_Tables_number 63
_symmetry_space_group_name_Hall '-C 2c 2'
loop_
_atom_site_label
_atom_site_fract_x
_atom_site_fract_y
_atom_site_fract_z
Pm1 0.000 0.185 0.250
Pr1 0.000 0.157 0.545
Pr2 0.000 0.469 0.623
Y1 0.000 0.144 0.683
Y2 0.000 0.189 0.104
Y3 0.000 0.481 0.750
Y4 0.000 0.500 0.000
```

(7)
The following is a PBE-GGA calculation of a geometry-optimized PrSm5Ho2Sc structure, from Alexandria via LeMat-Bulk.

* electronic total energy: -4.706 eV per atom
* Fermi-level density of states: 1.597 states/eV per atom

Structure (CIF):
```
data_PrSm5Ho2Sc
_chemical_formula_sum 'Pr4 Sm20 Ho8 Sc4'
_cell_length_a 5.635
_cell_length_b 20.116
_cell_length_c 10.469
_cell_angle_alpha 90.00
_cell_angle_beta 90.00
_cell_angle_gamma 90.00
_symmetry_space_group_name_H-M 'C m c 21'
_symmetry_Int_Tables_number 36
_symmetry_space_group_name_Hall 'C 2c -2'
loop_
_atom_site_label
_atom_site_fract_x
_atom_site_fract_y
_atom_site_fract_z
Pr1 0.000 0.089 0.000
Sm1 0.000 0.017 0.286
Sm2 0.000 0.124 0.564
Sm3 0.000 0.202 0.251
Sm4 0.000 0.224 0.866
Sm5 0.000 0.483 0.561
Ho1 0.000 0.385 0.280
Ho2 0.000 0.387 0.856
Sc1 0.000 0.305 0.559
```

(8)
The following is a PBE-GGA calculation of a geometry-optimized ScTlHg2 structure, from Alexandria via LeMat-Bulk.

* electronic total energy: -2.470 eV per atom
* Fermi-level density of states: 0.449 states/eV per atom

Structure (CIF):
```
data_ScTlHg2
_chemical_formula_sum 'Sc2 Tl2 Hg4'
_cell_length_a 10.386
_cell_length_b 3.590
_cell_length_c 5.376
_cell_angle_alpha 90.00
_cell_angle_beta 105.38
_cell_angle_gamma 90.00
_symmetry_space_group_name_H-M 'C 1 2/m 1'
_symmetry_Int_Tables_number 12
_symmetry_space_group_name_Hall '-C 2y'
loop_
_atom_site_label
_atom_site_fract_x
_atom_site_fract_y
_atom_site_fract_z
Sc1 0.000 0.000 0.000
Tl1 0.000 0.500 0.500
Hg1 0.240 0.500 0.233
```

(9)
The following is a PBE-GGA calculation of a geometry-optimized Li7Pr3Ge4 structure, from Alexandria via LeMat-Bulk.

* electronic total energy: -3.817 eV per atom
* Fermi-level density of states: 0.231 states/eV per atom

Structure (CIF):
```
data_Li7Pr3Ge4
_chemical_formula_sum 'Li14 Pr6 Ge8'
_cell_length_a 16.664
_cell_length_b 4.579
_cell_length_c 8.450
_cell_angle_alpha 90.00
_cell_angle_beta 119.90
_cell_angle_gamma 90.00
_symmetry_space_group_name_H-M 'C 1 2/m 1'
_symmetry_Int_Tables_number 12
_symmetry_space_group_name_Hall '-C 2y'
loop_
_atom_site_label
_atom_site_fract_x
_atom_site_fract_y
_atom_site_fract_z
Li1 0.000 0.000 0.000
Li2 0.015 0.500 0.203
Li3 0.142 0.000 0.949
Li4 0.167 0.500 0.510
Pr1 0.000 0.000 0.500
Pr2 0.230 0.500 0.222
Ge1 0.133 0.000 0.322
Ge2 0.138 0.500 0.784
```

(10)
The following is a PBE-GGA calculation of a geometry-optimized MgTl2Cr structure, from Alexandria via LeMat-Bulk.

* electronic total energy: -3.646 eV per atom
* Fermi-level density of states: 0.681 states/eV per atom

Structure (CIF):
```
data_MgTl2Cr
_chemical_formula_sum 'Mg2 Tl4 Cr2'
_cell_length_a 9.527
_cell_length_b 3.344
_cell_length_c 5.909
_cell_angle_alpha 90.00
_cell_angle_beta 101.53
_cell_angle_gamma 90.00
_symmetry_space_group_name_H-M 'C 1 2/m 1'
_symmetry_Int_Tables_number 12
_symmetry_space_group_name_Hall '-C 2y'
loop_
_atom_site_label
_atom_site_fract_x
_atom_site_fract_y
_atom_site_fract_z
Mg1 0.000 0.000 0.000
Tl1 0.247 0.000 0.741
Cr1 0.000 0.500 0.500
```

> What is the electronic total energy in the seventh record?

-4.706 eV per atom